# 1
Entry from Alexandria via LeMat-Bulk: a geometry-optimized Tb4ErAl2 structure (GGA-PBE).

Its formation energy is -0.078 eV/atom. Its density is 7200 kg/m3.

The structure belongs to space group P2_1/c (No. 14); the cell edges are 5.983, 10.338 and 6.817 Å and the angles 90.00°, 110.36° and 90.00°. The asymmetric unit holds Tb at (0.007, 0.159, 0.499), Tb at (0.493, 0.708, 0.498), Er at (0.000, 0.000, 0.000) and Al at (0.490, 0.501, 0.183).

# 2
Entry from Alexandria via LeMat-Bulk: a geometry-optimized TbEr4Al4 structure (GGA-PBE).

Its formation energy is -0.153 eV/atom. Its density is 6990 kg/m3.

The structure belongs to space group P4_2/n (No. 86, origin choice 2); the cell edges are 8.860, 8.860 and 5.665 Å and the angles 90.00°, 90.00° and 90.00°. The asymmetric unit holds Tb at (0.250, 0.250, 0.250), Er at (0.088, 0.825, 0.646) and Al at (0.055, 0.154, 0.839).

# 3
Entry from Alexandria via LeMat-Bulk: a geometry-optimized Tb4ErAl2 structure (GGA-PBE).

Its formation energy is 0.106 eV/atom. Its density is 6451 kg/m3.

The structure belongs to space group R-3m (No. 166, hexagonal axes); the cell edges are 5.0381, 5.0381 and 30.1033 Å and the angles 90.00°, 90.00° and 120.00°. The asymmetric unit holds Tb at (0.0000, 0.0000, 0.1030), Tb at (0.0000, 0.0000, 0.2978), Er at (0.0000, 0.0000, 0.5000) and Al at (0.0000, 0.0000, 0.4008).

# 4
Entry from Alexandria via LeMat-Bulk: a geometry-optimized TbErAl2 structure (GGA-PBE).

Its formation energy is -0.396 eV/atom. Its density is 6831 kg/m3.

The structure belongs to space group P4/mmm (No. 123); the cell edges are 3.589, 3.589 and 7.173 Å and the angles 90.00°, 90.00° and 90.00°. The asymmetric unit holds Tb at (0.000, 0.000, 0.000), Er at (0.000, 0.000, 0.500) and Al at (0.500, 0.500, 0.256).

# 5
Entry from Alexandria via LeMat-Bulk: a geometry-optimized TbEr4Al2 structure (GGA-PBE).

Its formation energy is -0.082 eV/atom. Its density is 7560 kg/m3.

The structure belongs to space group P-1 (No. 2); the cell edges are 6.075, 6.149 and 6.150 Å and the angles 114.05°, 102.13° and 101.97°. The asymmetric unit holds Tb at (0.000, 0.000, 0.000), Er at (0.000, 0.338, 0.662), Er at (0.500, 0.212, 0.787) and Al at (0.470, 0.681, 0.681).

# 6
Entry from Alexandria via LeMat-Bulk: a geometry-optimized Tb3ErAl3 structure (GGA-PBE).

Its formation energy is -0.266 eV/atom. Its density is 6630 kg/m3.

The structure belongs to space group Cmmm (No. 65); the cell edges are 10.189, 10.297 and 6.923 Å and the angles 90.00°, 90.00° and 90.00°. The asymmetric unit holds Tb at (0.000, 0.244, 0.000), Tb at (0.237, 0.000, 0.500), Tb at (0.247, 0.000, 0.000), Er at (0.000, 0.248, 0.500), Al at (0.000, 0.500, 0.258) and Al at (0.250, 0.250, 0.254).

# 7
Entry from Alexandria via LeMat-Bulk: a geometry-optimized TbEr3Al4 structure (GGA-PBE).

Its formation energy is -0.395 eV/atom. Its density is 6961 kg/m3.

The structure belongs to space group P4/mmm (No. 123); the cell edges are 5.060, 5.060 and 7.161 Å and the angles 90.00°, 90.00° and 90.00°. The asymmetric unit holds Tb at (0.000, 0.000, 0.000), Er at (0.000, 0.000, 0.500), Er at (0.500, 0.500, 0.000), Er at (0.500, 0.500, 0.500) and Al at (0.000, 0.500, 0.253).

# 8
Entry from Alexandria via LeMat-Bulk: a geometry-optimized Tb14ErAl structure (GGA-PBE).

Its formation energy is 0.003 eV/atom. Its density is 8091 kg/m3.

The structure belongs to space group Amm2 (No. 38); the cell edges are 10.824, 8.385 and 10.941 Å and the angles 90.00°, 90.00° and 90.00°. The asymmetric unit holds Tb at (0.000, 0.000, 0.000), Tb at (0.000, 0.000, 0.451), Tb at (0.000, 0.201, 0.729), Tb at (0.226, 0.000, 0.229), Tb at (0.264, 0.206, 0.512), Tb at (0.281, 0.000, 0.792), Tb at (0.500, 0.206, 0.295), Er at (0.500, 0.000, 0.025) and Al at (0.500, 0.000, 0.578).

# 9
Entry from Alexandria via LeMat-Bulk: a geometry-optimized TbErAl2 structure (GGA-PBE).

Its formation energy is -0.167 eV/atom. Its density is 6239 kg/m3.

The structure belongs to space group R-3m (No. 166, hexagonal axes); the cell edges are 3.5578, 3.5578 and 27.6869 Å and the angles 90.00°, 90.00° and 120.00°. The asymmetric unit holds Tb at (0.0000, 0.0000, 0.0000), Er at (0.0000, 0.0000, 0.5000) and Al at (0.0000, 0.0000, 0.2492).

# 10
Entry from Alexandria via LeMat-Bulk: a geometry-optimized Tb2ErAl structure (GGA-PBE).

Its formation energy is 0.123 eV/atom. Its density is 7154 kg/m3.

The structure belongs to space group R-3m (No. 166, hexagonal axes); the cell edges are 3.4588, 3.4588 and 34.4182 Å and the angles 90.00°, 90.00° and 120.00°. The asymmetric unit holds Tb at (0.0000, 0.0000, 0.0999), Er at (0.0000, 0.0000, 0.0000) and Al at (0.0000, 0.0000, 0.5000).

# 11
Entry from Alexandria via LeMat-Bulk: a geometry-optimized Tb5ErAl4 structure (GGA-PBE).

Its formation energy is -0.305 eV/atom. Its density is 7010 kg/m3.

The structure belongs to space group P4/mmm (No. 123); the cell edges are 3.587, 3.587 and 19.690 Å and the angles 90.00°, 90.00° and 90.00°. The asymmetric unit holds Tb at (0.000, 0.000, 0.000), Tb at (0.000, 0.000, 0.186), Tb at (0.000, 0.000, 0.374), Er at (0.500, 0.500, 0.500), Al at (0.500, 0.500, 0.093) and Al at (0.500, 0.500, 0.281).

# 12
Entry from Alexandria via LeMat-Bulk: a geometry-optimized TbErAlTc structure (GGA-PBE).

Its formation energy is -0.161 eV/atom. Its density is 8670 kg/m3.

The structure belongs to space group F-43m (No. 216); the cell edges are 7.018, 7.018 and 7.018 Å and the angles 90.00°, 90.00° and 90.00°. The asymmetric unit holds Tb at (0.000, 0.000, 0.000), Er at (0.000, 0.000, 0.500), Al at (0.250, 0.250, 0.750) and Tc at (0.250, 0.250, 0.250).

Copy entry 8 word for word.
Entry from Alexandria via LeMat-Bulk: a geometry-optimized Tb14ErAl structure (GGA-PBE).

Its formation energy is 0.003 eV/atom. Its density is 8091 kg/m3.

The structure belongs to space group Amm2 (No. 38); the cell edges are 10.824, 8.385 and 10.941 Å and the angles 90.00°, 90.00° and 90.00°. The asymmetric unit holds Tb at (0.000, 0.000, 0.000), Tb at (0.000, 0.000, 0.451), Tb at (0.000, 0.201, 0.729), Tb at (0.226, 0.000, 0.229), Tb at (0.264, 0.206, 0.512), Tb at (0.281, 0.000, 0.792), Tb at (0.500, 0.206, 0.295), Er at (0.500, 0.000, 0.025) and Al at (0.500, 0.000, 0.578).